(w)
VASP calculation (PBE-GGA) on crystalline CaPm2Dy at its relaxed geometry.

Cell and atoms, written as extended XYZ:
```
4
Lattice="0.0000 4.1187 4.1187 4.1187 0.0000 4.1187 4.1187 4.1187 0.0000" Properties=species:S:1:pos:R:3 pbc="T T T"
Ca 0.0000 0.0000 0.0000
Pm 2.0593 2.0593 2.0593
Pm 6.1780 6.1780 6.1780
Dy 4.1187 4.1187 4.1187
```

Values from the calculation:
- total moment (μB per formula unit) = 0.0



(x)
VASP calculation (PBE-GGA) on crystalline CaPm2Dy at its relaxed geometry.

Cell and atoms, written as extended XYZ:
```
4
Lattice="5.2243 0.0000 0.0000 0.0000 5.2243 0.0000 0.0000 0.0000 5.0666" Properties=species:S:1:pos:R:3 pbc="T T T"
Ca 0.0000 0.0000 0.0000
Pm 0.0000 2.6121 2.5333
Pm 2.6121 0.0000 2.5333
Dy 2.6121 2.6121 0.0000
```

Values from the calculation:
- total moment (μB per formula unit) = 0.0



Result of the stability comparison: (x) is the most stable of them.



(w)
VASP calculation (PBE-GGA) on crystalline CaPm2Dy at its relaxed geometry.

Cell and atoms, written as extended XYZ:
```
4
Lattice="1.8233 1.0527 12.1600 -1.8233 1.0527 12.1600 0.0000 -2.1054 12.1600" Properties=species:S:1:pos:R:3 pbc="T T T"
Ca 0.0000 0.0000 0.0000
Pm 0.0000 0.0000 8.9452
Pm 0.0000 0.0000 27.5348
Dy 0.0000 0.0000 18.2400
```

Values from the calculation:
- total moment (μB per formula unit) = 0.0



(x)
VASP calculation (PBE-GGA) on crystalline CaPm2Dy at its relaxed geometry.

Cell and atoms, written as extended XYZ:
```
4
Lattice="3.6561 0.0000 0.0000 0.0000 3.6561 0.0000 0.0000 0.0000 10.4924" Properties=species:S:1:pos:R:3 pbc="T T T"
Ca 0.0000 0.0000 0.0000
Pm 1.8281 1.8281 2.7991
Pm 1.8281 1.8281 7.6933
Dy 0.0000 0.0000 5.2462
```

Values from the calculation:
- total moment (μB per formula unit) = 0.0



Result of the stability comparison: (w) is the most stable of them.



(w)
VASP calculation (PBE-GGA) on crystalline CaPmDy at its relaxed geometry.

Cell and atoms, written as extended XYZ:
```
3
Lattice="-1.8364 1.8364 7.8423 1.8364 -1.8364 7.8423 1.8364 1.8364 -7.8423" Properties=species:S:1:pos:R:3 pbc="T T T"
Ca 0.0000 0.0000 0.0000
Pm 0.0000 0.0000 5.0576
Dy 0.0000 0.0000 10.5682
```

Values from the calculation:
- total moment (μB per formula unit) = 0.0



(x)
VASP calculation (PBE-GGA) on crystalline CaPmDy at its relaxed geometry.

Cell and atoms, written as extended XYZ:
```
6
Lattice="4.9473 0.0000 0.0000 0.0000 4.9473 0.0000 0.0000 0.0000 8.9794" Properties=species:S:1:pos:R:3 pbc="T T T"
Ca 1.2368 1.2368 1.5524
Ca 3.7105 3.7105 7.4270
Pm 1.2368 3.7105 4.4897
Pm 3.7105 1.2368 4.4897
Dy 1.2368 1.2368 7.0015
Dy 3.7105 3.7105 1.9779
```

Values from the calculation:
- total moment (μB per formula unit) = 0.0



Result of the stability comparison: (w) is the most stable of them.



(w)
VASP calculation (PBE-GGA) on crystalline CaPm3Dy at its relaxed geometry.

Cell and atoms, written as extended XYZ:
```
10
Lattice="5.5961 0.0000 0.0000 0.0039 7.2528 0.0000 2.7958 3.6091 8.5703" Properties=species:S:1:pos:R:3 pbc="T T T"
Ca 1.3999 1.8055 2.4223
Ca 6.9959 9.0564 6.1480
Pm 1.4016 5.4512 2.4319
Pm 4.1971 7.2405 7.7379
Pm 4.1904 7.1694 4.3242
Pm 4.2054 3.6925 4.2461
Pm 4.1986 3.6214 0.8324
Pm 6.9941 5.4107 6.1384
Dy 4.1942 3.6279 7.6993
Dy 4.2016 7.2340 0.8710
```

Values from the calculation:
- total moment (μB per formula unit) = 0.0



(x)
VASP calculation (PBE-GGA) on crystalline CaPm3Dy at its relaxed geometry.

Cell and atoms, written as extended XYZ:
```
10
Lattice="3.0913 1.7848 11.8004 -3.0913 1.7848 11.8004 0.0000 -3.5695 11.8004" Properties=species:S:1:pos:R:3 pbc="T T T"
Ca 0.0000 0.0000 5.8990
Ca 0.0000 0.0000 29.5023
Pm -2.0590 0.0321 14.5866
Pm -1.0573 -1.7672 20.8147
Pm 1.0018 -1.7992 14.5866
Pm -1.0018 1.7992 20.8147
Pm 1.0573 1.7672 14.5866
Pm 2.0590 -0.0321 20.8147
Dy 0.0000 0.0000 11.8109
Dy 0.0000 0.0000 23.5904
```

Values from the calculation:
- total moment (μB per formula unit) = 0.0



Result of the stability comparison: (w) is the most stable of them.



(w)
VASP calculation (PBE-GGA) on crystalline CaPm4Dy at its relaxed geometry.

Cell and atoms, written as extended XYZ:
```
6
Lattice="0.0000 4.7817 4.7817 4.7817 0.0000 4.7817 4.7817 4.7817 0.0000" Properties=species:S:1:pos:R:3 pbc="T T T"
Ca 0.0000 0.0000 0.0000
Pm 3.6025 3.6025 3.6025
Pm 5.9609 5.9609 3.6025
Pm 5.9609 3.6025 5.9609
Pm 3.6025 5.9609 5.9609
Dy 7.1725 7.1725 7.1725
```

Values from the calculation:
- total moment (μB per formula unit) = 0.0



(x)
VASP calculation (PBE-GGA) on crystalline CaPm4Dy at its relaxed geometry.

Cell and atoms, written as extended XYZ:
```
6
Lattice="3.6299 0.0000 0.0000 0.0000 5.1938 0.0000 0.0000 0.0000 11.0548" Properties=species:S:1:pos:R:3 pbc="T T T"
Ca 0.0000 0.0000 0.0000
Pm 0.0000 0.0000 3.7579
Pm 0.0000 0.0000 7.2969
Pm 1.8150 2.5969 2.0015
Pm 1.8150 2.5969 9.0533
Dy 1.8150 2.5969 5.5274
```

Values from the calculation:
- total moment (μB per formula unit) = 0.0



Result of the stability comparison: (x) is the most stable of them.



(w)
VASP calculation (PBE-GGA) on crystalline Ca2PrDy at its relaxed geometry.

Cell and atoms, written as extended XYZ:
```
4
Lattice="4.1731 0.0000 0.0000 0.0000 4.1731 0.0000 0.0000 0.0000 8.4209" Properties=species:S:1:pos:R:3 pbc="T T T"
Ca 0.0000 0.0000 2.0451
Ca 0.0000 0.0000 6.3758
Pr 2.0865 2.0865 4.2104
Dy 2.0865 2.0865 0.0000
```

Values from the calculation:
- total moment (μB per formula unit) = 0.0



(x)
VASP calculation (PBE-GGA) on crystalline Ca2PrDy at its relaxed geometry.

Cell and atoms, written as extended XYZ:
```
4
Lattice="1.8525 1.0696 12.3564 -1.8525 1.0696 12.3564 0.0000 -2.1391 12.3564" Properties=species:S:1:pos:R:3 pbc="T T T"
Ca 0.0000 0.0000 0.0000
Ca 0.0000 0.0000 6.0453
Pr 0.0000 0.0000 21.5588
Dy 0.0000 0.0000 27.7243
```

Values from the calculation:
- total moment (μB per formula unit) = 0.6



Result of the stability comparison: (x) is the most stable of them.



(w)
VASP calculation (PBE-GGA) on crystalline Ca2PrDy at its relaxed geometry.

Cell and atoms, written as extended XYZ:
```
4
Lattice="0.0000 4.1848 4.1848 4.1848 0.0000 4.1848 4.1848 4.1848 0.0000" Properties=species:S:1:pos:R:3 pbc="T T T"
Ca 2.0924 2.0924 2.0924
Ca 6.2771 6.2771 6.2771
Pr 0.0000 0.0000 0.0000
Dy 4.1848 4.1848 4.1848
```

Values from the calculation:
- total moment (μB per formula unit) = 0.0



(x)
VASP calculation (PBE-GGA) on crystalline Ca2PrDy at its relaxed geometry.

Cell and atoms, written as extended XYZ:
```
4
Lattice="6.4355 -3.1860 0.0000 6.4355 3.1860 0.0000 -1.0668 0.0000 3.5566" Properties=species:S:1:pos:R:3 pbc="T T T"
Ca 2.9377 0.0000 0.8821
Ca 8.8666 0.0000 2.6745
Pr 6.4355 -1.0399 0.0000
Dy 5.9021 2.1415 1.7783
```

Values from the calculation:
- total moment (μB per formula unit) = 0.0



Result of the stability comparison: (x) is the most stable of them.



(w)
VASP calculation (PBE-GGA) on crystalline CaPr3Dy at its relaxed geometry.

Cell and atoms, written as extended XYZ:
```
10
Lattice="2.7961 -5.7272 0.0000 2.7961 5.7272 0.0000 0.0000 0.0000 11.4969" Properties=species:S:1:pos:R:3 pbc="T T T"
Ca 2.7961 3.9396 0.0000
Ca 2.7961 -3.9396 0.0000
Pr 2.7961 3.9786 3.5409
Pr 2.7961 3.9786 7.9561
Pr 2.7961 0.0000 2.1870
Pr 2.7961 0.0000 9.3100
Pr 2.7961 -3.9786 3.5409
Pr 2.7961 -3.9786 7.9561
Dy 2.7961 1.5960 5.7485
Dy 2.7961 -1.5960 5.7485
```

Values from the calculation:
- total moment (μB per formula unit) = 0.0



(x)
VASP calculation (PBE-GGA) on crystalline CaPr3Dy at its relaxed geometry.

Cell and atoms, written as extended XYZ:
```
10
Lattice="3.1342 1.8095 11.8371 -3.1342 1.8095 11.8371 0.0000 -3.6191 11.8371" Properties=species:S:1:pos:R:3 pbc="T T T"
Ca 0.0000 0.0000 5.9263
Ca 0.0000 0.0000 29.5849
Pr -2.0926 0.0487 14.6147
Pr -1.0885 -1.7879 20.8965
Pr 1.0041 -1.8366 14.6147
Pr -1.0041 1.8366 20.8965
Pr 1.0885 1.7879 14.6147
Pr 2.0926 -0.0487 20.8965
Dy 0.0000 0.0000 11.8475
Dy 0.0000 0.0000 23.6637
```

Values from the calculation:
- total moment (μB per formula unit) = 0.0



Result of the stability comparison: (w) is the most stable of them.



(w)
VASP calculation (PBE-GGA) on crystalline CaPrDy at its relaxed geometry.

Cell and atoms, written as extended XYZ:
```
3
Lattice="-1.8525 1.8525 7.8654 1.8525 -1.8525 7.8654 1.8525 1.8525 -7.8654" Properties=species:S:1:pos:R:3 pbc="T T T"
Ca 0.0000 0.0000 0.0000
Pr 0.0000 0.0000 10.6715
Dy 0.0000 0.0000 5.1580
```

Values from the calculation:
- total moment (μB per formula unit) = 0.0



(x)
VASP calculation (PBE-GGA) on crystalline CaPrDy at its relaxed geometry.

Cell and atoms, written as extended XYZ:
```
6
Lattice="4.8931 0.0000 0.0000 0.0000 4.8931 0.0000 0.0000 0.0000 9.1588" Properties=species:S:1:pos:R:3 pbc="T T T"
Ca 1.2233 3.6698 0.0000
Ca 3.6698 1.2233 0.0000
Pr 1.2233 1.2233 3.1179
Pr 3.6698 3.6698 6.0409
Dy 1.2233 1.2233 6.4363
Dy 3.6698 3.6698 2.7225
```

Values from the calculation:
- total moment (μB per formula unit) = 0.0



(y)
VASP calculation (PBE-GGA) on crystalline CaPrDy at its relaxed geometry.

Cell and atoms, written as extended XYZ:
```
6
Lattice="3.6870 0.0000 0.0000 0.0000 5.1133 0.0000 0.0000 0.0000 11.4536" Properties=species:S:1:pos:R:3 pbc="T T T"
Ca 0.9217 1.2783 1.0605
Ca 2.7652 3.8350 10.3931
Pr 0.9217 1.2783 8.3495
Pr 2.7652 3.8350 3.1041
Dy 0.9217 1.2783 4.8760
Dy 2.7652 3.8350 6.5776
```

Values from the calculation:
- total moment (μB per formula unit) = 0.0



(z)
VASP calculation (PBE-GGA) on crystalline CaPrDy at its relaxed geometry.

Cell and atoms, written as extended XYZ:
```
6
Lattice="3.6867 0.0000 0.0000 0.0000 3.6867 0.0000 0.0000 0.0000 15.9591" Properties=species:S:1:pos:R:3 pbc="T T T"
Ca 0.9217 0.9217 1.4789
Ca 2.7650 2.7650 14.4802
Pr 0.9217 0.9217 11.6637
Pr 2.7650 2.7650 4.2954
Dy 0.9217 0.9217 6.7428
Dy 2.7650 2.7650 9.2163
```

Values from the calculation:
- total moment (μB per formula unit) = 0.0



Result of the stability comparison: (z) is the most stable of them.



(w)
VASP calculation (PBE-GGA) on crystalline CaPrDyY at its relaxed geometry.

Cell and atoms, written as extended XYZ:
```
4
Lattice="3.6569 0.0000 0.0000 0.0000 3.6569 0.0000 0.0000 0.0000 10.5107" Properties=species:S:1:pos:R:3 pbc="T T T"
Ca 0.0000 0.0000 0.0000
Pr 1.8284 1.8284 7.6422
Dy 0.0000 0.0000 5.1569
Y 1.8284 1.8284 2.7607
```

Values from the calculation:
- total moment (μB per formula unit) = 0.0



(x)
VASP calculation (PBE-GGA) on crystalline CaPrDyY at its relaxed geometry.

Cell and atoms, written as extended XYZ:
```
4
Lattice="0.0000 4.1148 4.1148 4.1148 0.0000 4.1148 4.1148 4.1148 0.0000" Properties=species:S:1:pos:R:3 pbc="T T T"
Ca 0.0000 0.0000 0.0000
Pr 2.0574 2.0574 2.0574
Dy 4.1148 4.1148 4.1148
Y 6.1722 6.1722 6.1722
```

Values from the calculation:
- total moment (μB per formula unit) = 0.0



Result of the stability comparison: (w) is the most stable of them.



(w)
VASP calculation (PBE-GGA) on crystalline CaDy2Pt at its relaxed geometry.

Cell and atoms, written as extended XYZ:
```
4
Lattice="2.0402 1.1779 9.3252 -2.0402 1.1779 9.3252 0.0000 -2.3559 9.3252" Properties=species:S:1:pos:R:3 pbc="T T T"
Ca 0.0000 0.0000 0.0000
Dy 0.0000 0.0000 6.1623
Dy 0.0000 0.0000 21.8133
Pt 0.0000 0.0000 13.9878
```

Values from the calculation:
- total moment (μB per formula unit) = 0.0



(x)
VASP calculation (PBE-GGA) on crystalline CaDy2Pt at its relaxed geometry.

Cell and atoms, written as extended XYZ:
```
4
Lattice="2.0586 1.1885 9.1216 -2.0586 1.1885 9.1216 0.0000 -2.3770 9.1216" Properties=species:S:1:pos:R:3 pbc="T T T"
Ca 0.0000 0.0000 0.0000
Dy 0.0000 0.0000 15.1067
Dy 0.0000 0.0000 21.2982
Pt 0.0000 0.0000 4.5158
```

Values from the calculation:
- total moment (μB per formula unit) = 0.0



Result of the stability comparison: (x) is the most stable of them.



(w)
VASP calculation (PBE-GGA) on crystalline CaDyZnPt at its relaxed geometry.

Cell and atoms, written as extended XYZ:
```
4
Lattice="4.1898 0.0000 0.0000 0.0000 1.9828 5.6734 0.0000 -1.9828 5.6734" Properties=species:S:1:pos:R:3 pbc="T T T"
Ca 0.0000 0.0000 0.0000
Dy 2.0949 0.0000 8.0881
Zn 2.0949 0.0000 4.7862
Pt 0.0000 0.0000 3.0978
```

Values from the calculation:
- total moment (μB per formula unit) = 0.0



(x)
VASP calculation (PBE-GGA) on crystalline CaDyZnPt at its relaxed geometry.

Cell and atoms, written as extended XYZ:
```
4
Lattice="0.0000 3.5246 3.5246 3.5246 0.0000 3.5246 3.5246 3.5246 0.0000" Properties=species:S:1:pos:R:3 pbc="T T T"
Ca 0.0000 0.0000 0.0000
Dy 3.5246 3.5246 3.5246
Zn 1.7623 1.7623 1.7623
Pt 5.2869 5.2869 5.2869
```

Values from the calculation:
- total moment (μB per formula unit) = 0.0



Result of the stability comparison: (w) is the most stable of them.



(w)
VASP calculation (PBE-GGA) on crystalline CaDy2Pu at its relaxed geometry.

Cell and atoms, written as extended XYZ:
```
4
Lattice="1.7439 1.0068 12.3887 -1.7439 1.0068 12.3887 0.0000 -2.0136 12.3887" Properties=species:S:1:pos:R:3 pbc="T T T"
Ca 0.0000 0.0000 0.0000
Dy 0.0000 0.0000 3.4186
Dy 0.0000 0.0000 33.7475
Pu 0.0000 0.0000 18.5831
```

Values from the calculation:
- total moment (μB per formula unit) = 5.9



(x)
VASP calculation (PBE-GGA) on crystalline CaDy2Pu at its relaxed geometry.

Cell and atoms, written as extended XYZ:
```
4
Lattice="1.7838 1.0299 11.7459 -1.7838 1.0299 11.7459 0.0000 -2.0597 11.7459" Properties=species:S:1:pos:R:3 pbc="T T T"
Ca 0.0000 0.0000 0.0000
Dy 0.0000 0.0000 8.6325
Dy 0.0000 0.0000 14.8928
Pu 0.0000 0.0000 29.3955
```

Values from the calculation:
- total moment (μB per formula unit) = 6.2



Result of the stability comparison: (x) is the most stable of them.